No. 1
DFT (PBE) results for a relaxed Pr5Sm3Tl crystal.

Cell and atoms, written as CIF:
```
data_Pr5Sm3Tl
_symmetry_space_group_name_H-M 'C 1 2/m 1'
_symmetry_Int_Tables_number 12
_cell_length_a 8.958
_cell_length_b 11.648
_cell_length_c 13.452
_cell_angle_alpha 90.00
_cell_angle_beta 100.24
_cell_angle_gamma 90.00
loop_
_symmetry_equiv_pos_as_xyz
'x,y,z'
'-x,-y,-z'
'-x,y,-z'
'x,-y,z'
'x+1/2,y+1/2,z'
'-x+1/2,-y+1/2,-z'
'-x+1/2,y+1/2,-z'
'x+1/2,-y+1/2,z'
loop_
_atom_site_label
_atom_site_fract_x
_atom_site_fract_y
_atom_site_fract_z
Pr1 0.000 0.241 0.000
Pr2 0.139 0.261 0.732
Pr3 0.141 0.000 0.330
Pr4 0.164 0.000 0.849
Sm1 0.000 0.500 0.000
Sm2 0.000 0.500 0.500
Sm3 0.171 0.000 0.575
Sm4 0.200 0.000 0.094
Tl1 0.037 0.500 0.255
```

As for the total energy: -150.2 eV for the cell shown. The density of states at the Fermi level is 46.0 states/eV per cell. The magnetization is 0.00 μB/f.u. The calculation puts the calculated volume at 1381.3 Å³ per cell.

No. 2
DFT (PBE) results for a relaxed Pr3Sm3Tl crystal.

Cell and atoms, written as CIF:
```
data_Pr3Sm3Tl
_symmetry_space_group_name_H-M 'P 1 21/m 1'
_symmetry_Int_Tables_number 11
_cell_length_a 9.626
_cell_length_b 5.750
_cell_length_c 9.630
_cell_angle_alpha 90.00
_cell_angle_beta 119.97
_cell_angle_gamma 90.00
loop_
_symmetry_equiv_pos_as_xyz
'x,y,z'
'-x,-y,-z'
'-x,y+1/2,-z'
'x,-y+1/2,z'
loop_
_atom_site_label
_atom_site_fract_x
_atom_site_fract_y
_atom_site_fract_z
Pr1 0.023 0.250 0.129
Pr2 0.130 0.750 0.608
Pr3 0.393 0.750 0.023
Sm1 0.258 0.750 0.321
Sm2 0.321 0.250 0.563
Sm3 0.438 0.250 0.258
Tl1 0.167 0.250 0.834
```

The value obtained for the distance to the lowest polymorph of the same formula is 0 meV per atom. The density of states at the Fermi level is 17.7 states/eV per cell. The magnetization is 0.00 μB/f.u. The calculation puts the calculated volume at 461.8 Å³ per cell.

No. 3
DFT (PBE) results for a relaxed Pr4Sm5Tl2 crystal.

Cell and atoms, written as CIF:
```
data_Pr4Sm5Tl2
_symmetry_space_group_name_H-M 'R -3 m'
_symmetry_Int_Tables_number 166
_symmetry_space_group_name_Hall '-R 3 2"'
_cell_length_a 5.3377
_cell_length_b 5.3377
_cell_length_c 48.3151
_cell_angle_alpha 90.00
_cell_angle_beta 90.00
_cell_angle_gamma 120.00
loop_
_atom_site_label
_atom_site_fract_x
_atom_site_fract_y
_atom_site_fract_z
Pr1 0.0000 0.0000 0.0741
Pr2 0.0000 0.0000 0.2250
Sm1 0.0000 0.0000 0.0000
Sm2 0.0000 0.0000 0.1489
Sm3 0.0000 0.0000 0.3023
Tl1 0.0000 0.0000 0.3783
```

As for the total energy: -135.1 eV for the cell shown. The density of states at the Fermi level is 47.6 states/eV per cell. The magnetization is 0.27 μB/f.u. The calculation puts the calculated volume at 1192.1 Å³ per cell.